A relaxed structure of ZrCoPO2. Source: Alexandria, functional PBE+U.

Unit cell a=3.800 b=3.800 c=4.435 alpha=90.00 beta=90.00 gamma=90.00
Space group P4/mmm (No. 123)
Inequivalent atoms, fractional coordinates:
Zr 0.000 0.000 0.000
Co 0.500 0.500 0.500
P 0.500 0.500 0.000
O 0.000 0.500 0.500

Results
The value obtained for the spin magnetization is 1.84 μB per cell. The density of states at the Fermi level is 0.2897 states/eV per atom. The energy above the lowest structure with this stoichiometry is 0.2280 eV/atom.